Entry 1:
Below is a relaxed Cs2SiRuO crystal, with properties calculated at the PBE level.

The structure belongs to space group P4/mmm (No. 123); the cell edges are 6.475, 6.475 and 3.580 Å and the angles 90.00°, 90.00° and 90.00°. The inequivalent atoms are Cs at (0.000, 0.500, 0.000), Si at (0.000, 0.000, 0.500), Ru at (0.500, 0.500, 0.500) and O at (0.000, 0.000, 0.000).

As for the formation energy without anion corrections: 0.426 eV per atom. The value obtained for the density of states at the Fermi level is 6.2 states/eV/f.u. As for the calculated total energy: -3.847 eV/atom.

=====

Entry 2:
Below is a relaxed BiPIO4 crystal, with properties calculated at the PBE level.

The structure belongs to space group C2/m (No. 12); the cell edges are 11.454, 6.645 and 6.632 Å and the angles 90.00°, 99.70° and 90.00°. The inequivalent atoms are Bi at (0.197, 0.000, 0.319), P at (0.134, 0.000, 0.753), I at (0.032, 0.500, 0.203), O at (0.001, 0.000, 0.250), O at (0.171, 0.185, 0.628) and O at (0.201, 0.000, 0.973).

As for the formation energy without anion corrections: -1.506 eV per atom. As for the calculated total energy: -5.888 eV/atom.